1.
Material: PrZrTlAu
Method: DFT, PBE
State: relaxed

## Properties
**Calculated formation energy**: -268 meV/atom
**Volume**: 25.1 Å³ per atom

Lattice parameters (Å, degrees): 5.2195 5.2195 5.2195 60.00 60.00 60.00
With the nearest neighbours (Å) after each atom.
Fractional coordinates of all 4 atoms:
Tl1 0.5000 0.5000 0.5000  4 Zr 3.20, 4 Pr 3.20
Au1 0.0000 0.0000 0.0000  4 Zr 3.20, 4 Pr 3.20
Pr1 0.2500 0.2500 0.2500  4 Au 3.20, 4 Tl 3.20
Zr1 0.7500 0.7500 0.7500  4 Tl 3.20, 4 Au 3.20

2.
Material: CeDy4Ho7
Method: DFT, PBE
State: relaxed

## Properties
**Calculated formation energy**: 149 meV/atom
**Volume**: 31.6 Å³ per atom

Lattice parameters (Å, degrees): 5.9265 9.0477 9.9660 74.86 89.81 49.10
With the nearest neighbours (Å) after each atom.
Fractional coordinates of all 12 atoms:
Ce1 0.0000 0.0000 0.0000  2 Ho 2.96
Ho1 0.9357 0.8122 0.3740  5 Ho 3.46-3.80, 6 Dy 3.59-3.67, 1 Ce 3.80
Ho2 0.2892 0.4607 0.0788  3 Ho 3.27-3.31, 2 Dy 3.65
Ho3 0.4707 0.2853 0.4282  5 Ho 3.27-3.51, 4 Dy 3.35-3.64
Ho4 0.7108 0.5393 0.9212  3 Ho 3.27-3.31, 2 Dy 3.65
Ho5 0.5293 0.7147 0.5718  5 Ho 3.27-3.51, 4 Dy 3.35-3.64
Ho6 0.0643 0.1878 0.6260  5 Ho 3.46-3.80, 6 Dy 3.59-3.67, 1 Ce 3.80
Ho7 0.5000 0.0000 0.0000  2 Ce 2.96
Dy1 0.8786 0.8679 0.7270  1 Dy 3.16, 2 Ho 3.35-3.47, 1 Ce 3.49
Dy2 0.1214 0.1321 0.2730  1 Dy 3.16, 2 Ho 3.35-3.47, 1 Ce 3.49
Dy3 0.3409 0.4060 0.7269  1 Dy 3.16, 2 Ho 3.35-3.47, 1 Ce 3.50
Dy4 0.6591 0.5940 0.2731  1 Dy 3.16, 2 Ho 3.35-3.47, 1 Ce 3.50

3.
Material: Ac2AuS3
Method: DFT, PBE
State: relaxed

## Properties
**Formation energy without anion corrections**: -9.52 eV/f.u.
**Volume**: 26.3 Å³ per atom

Lattice parameters (Å, degrees): 4.0035 4.6621 8.9851 105.04 102.87 90.00
With the nearest neighbours (Å) after each atom.
Fractional coordinates of all 6 atoms:
Ac1 0.6405 0.6405 0.2810  7 S 3.00-3.15
Ac2 0.3595 0.3595 0.7190  7 S 3.00-3.15
S1 0.0000 0.5000 0.0000  2 Au 2.33
S2 0.8181 0.8181 0.6361  5 Ac 3.00-3.15, 1 Au 3.07
S3 0.1819 0.1819 0.3639  5 Ac 3.00-3.15, 1 Au 3.07
Au1 0.0000 0.0000 0.0000  2 S 2.33

4.
Material: Pm2ScRh3
Method: DFT, PBE
State: relaxed

## Properties
**Calculated formation energy**: -753 meV/atom
**Volume**: 20.1 Å³ per atom

Lattice parameters (Å, degrees): 3.4015 3.4015 10.4085 90.00 90.00 90.00
With the nearest neighbours (Å) after each atom.
Fractional coordinates of all 6 atoms:
Pm1 0.5000 0.5000 0.1747  8 Rh 3.02-3.04
Pm2 0.5000 0.5000 0.8253  8 Rh 3.02-3.04
Rh1 0.0000 0.0000 0.3538  4 Sc 2.85, 4 Pm 3.04, 1 Rh 3.04
Rh2 0.0000 0.0000 0.0000  8 Pm 3.02
Rh3 0.0000 0.0000 0.6462  4 Sc 2.85, 4 Pm 3.04, 1 Rh 3.04
Sc1 0.5000 0.5000 0.5000  8 Rh 2.85

5.
Material: Na2TlCr
Method: DFT, PBE
State: relaxed

## Properties
**Calculated formation energy**: 535 meV/atom
**Volume**: 27.4 Å³ per atom

Lattice parameters (Å, degrees): 8.6587 8.6587 6.7829 50.34 50.34 90.00
With the nearest neighbours (Å) after each atom.
Fractional coordinates of all 8 atoms:
Na1 0.3750 0.3793 0.7500  2 Na 2.92, 2 Cr 3.12, 2 Tl 3.17
Na2 0.6207 0.1250 0.2500  2 Na 2.92, 2 Cr 3.12, 2 Tl 3.17
Na3 0.8750 0.8707 0.7500  2 Na 2.92, 2 Cr 3.12, 2 Tl 3.17
Na4 0.1293 0.6250 0.2500  2 Na 2.92, 2 Cr 3.12, 2 Tl 3.17
Cr1 0.5000 0.5000 0.0000  2 Tl 2.92, 4 Na 3.12
Cr2 0.2500 0.7500 0.5000  2 Tl 2.92, 4 Na 3.12
Tl1 0.7500 0.2500 0.5000  2 Cr 2.92, 4 Na 3.17
Tl2 0.0000 0.0000 0.0000  2 Cr 2.92, 4 Na 3.17

6.
Material: K2NiRh
Method: DFT, PBE
State: relaxed

## Properties
**Calculated formation energy**: 899 meV/atom
**Volume**: 21.9 Å³ per atom

Lattice parameters (Å, degrees): 5.1771 2.9143 6.4691 63.62 90.00 90.00
With the nearest neighbours (Å) after each atom.
Fractional coordinates of all 4 atoms:
Ni1 0.5000 0.2500 0.2500  2 Rh 2.90, 2 Ni 2.91
Rh1 0.5000 0.7500 0.7500  2 Ni 2.90, 2 Rh 2.91
K1 0.0000 0.0068 0.9999  4 K 2.90-2.91
K2 0.0000 0.4932 0.5001  4 K 2.90-2.91

7.
Material: SrSi2AgPd5
Method: DFT, PBE
State: relaxed

## Properties
**Formation energy without anion corrections**: -3.97 eV/f.u.
**Volume**: 17.9 Å³ per atom

Lattice parameters (Å, degrees): 4.7387 4.7387 7.1851 90.00 90.00 90.00
With the nearest neighbours (Å) after each atom.
Fractional coordinates of all 9 atoms:
Pd1 0.5000 0.0000 0.2201  2 Si 2.41
Pd2 0.5000 0.0000 0.7799  2 Si 2.41
Pd3 0.0000 0.5000 0.7799  2 Si 2.41
Pd4 0.0000 0.5000 0.2201  2 Si 2.41
Pd5 0.5000 0.5000 0.5000  2 Si 2.45
Si1 0.5000 0.5000 0.1596  1 Si 2.29, 5 Pd 2.41-2.45
Si2 0.5000 0.5000 0.8404  1 Si 2.29, 5 Pd 2.41-2.45
Ag1 0.0000 0.0000 0.0000  8 Pd 2.85
Sr1 0.0000 0.0000 0.5000  12 Pd 3.11-3.35

8.
Material: GdSe
Method: DFT, PBE
State: relaxed

## Properties
**Formation energy without anion corrections**: -3.70 eV/f.u.
**Volume**: 24.9 Å³ per atom

Lattice parameters (Å, degrees): 4.1315 4.1315 4.1315 60.00 60.00 60.00
With the nearest neighbours (Å) after each atom.
Fractional coordinates of all 2 atoms:
Se1 0.5000 0.5000 0.5000  6 Gd 2.92
Gd1 0.0000 0.0000 0.0000  6 Se 2.92

no.,N(E_F) (states/eV per cell),calculated density (Mg/m³)
1,2.813,10.462
2,22.011,8.509
3,1.055,7.873
4,3.900,8.875
5,5.375,4.588
6,5.415,4.554
7,2.079,8.066
8,1.369,7.866